No. 1
VASP calculation (GGA-PBE) on a relaxed structure of Er8HgBi2.

Output
- volume (A^3/atom) = 29.05
- formation energy from the elements (eV/atom) = -0.32

```
11
Lattice="5.114 0.000 0.000 0.000 6.824 1.309 -2.557 -1.181 8.931" Properties=species:S:1:pos:R:3 pbc="T T T"
Er 0.000 2.037 7.886
Er 2.557 0.258 3.028
Er 2.557 3.548 5.947
Er 0.000 1.655 0.881
Er 0.000 2.095 4.293
Er 0.000 5.385 7.212
Er 2.557 3.605 2.354
Er 2.557 3.988 9.358
Hg 2.557 0.000 0.000
Bi 2.557 0.372 6.293
Bi 0.000 5.271 3.947
```



No. 2
VASP calculation (GGA-PBE) on a relaxed structure of LiMnN2.

Output
- volume (A^3/atom) = 10.85
- formation energy from raw total energies (eV per atom) = -0.34
- polymorph energy (0 for the lowest one) (meV/atom) = 0

```
8
Lattice="-1.825 -3.976 1.258 2.774 -2.182 -2.874 3.341 -3.434 2.228" Properties=species:S:1:pos:R:3 pbc="T T T"
Mn 0.000 0.000 0.000
Mn 0.995 -5.244 1.338
Li 0.475 -3.079 -0.808
Li 3.295 -4.348 -0.727
N -0.079 -3.878 1.066
N 2.461 -2.457 -1.165
N 2.679 -4.741 1.254
N 3.519 -8.108 0.067
```



No. 3
VASP calculation (GGA-PBE) on a relaxed structure of Rb2NaHg.

Output
- volume (A^3/atom) = 53.51
- formation energy from the elements (eV/atom) = -0.10

```
4
Lattice="-3.749 3.009 0.663 -3.670 0.692 -6.246 -6.213 -3.772 -0.369" Properties=species:S:1:pos:R:3 pbc="T T T"
Rb -3.502 0.732 -5.460
Rb -7.320 -0.663 -2.988
Na -3.536 -0.242 -1.192
Hg -9.762 0.760 -5.534
```



Q: Among the records above, which one has the highest volume?
A: Rb2NaHg



Q: The highest volume belongs to which entry?
A: Rb2NaHg